Material: Nd4Ge2SeBr
Method: DFT, PBE
State: optimized geometry

Output
Total magnetic moment (μB per formula unit): 0.000
Calculated total energy (eV/atom): -5.4718
Crystal system: monoclinic

abc: 7.4561 4.3059 7.4879
angles: 90.00 109.33 90.00
Closest atoms and distances in Å follow each position.
Space group P2/m (No. 10)
Unique sites:
Nd (0.2351, 0.0000, 0.2263) x2  3 Ge 2.93-3.00, 1 Se 3.11, 2 Br 3.17
Nd (0.2491, 0.5000, 0.7673) x2  3 Ge 2.94-3.00, 2 Se 3.10, 1 Br 3.16
Ge (0.0000, 0.5000, 0.0000) x1  6 Nd 2.93-2.94
Ge (0.5000, 0.0000, 0.0000) x1  6 Nd 3.00
Se (0.0000, 0.0000, 0.5000) x1  6 Nd 3.10-3.11
Br (0.5000, 0.5000, 0.5000) x1  6 Nd 3.16-3.17